Entry from the Alexandria database: a geometry-optimized BaCo3Si structure (PBE).

Cell: 4.4482 4.4482 4.4482 Å, 90.00 90.00 90.00°
Closest atoms and distances in Å follow each position.
Element x y z (fractional)
Si (0.0000, 0.0000, 0.0000)  6 Co 2.22
Co (0.0000, 0.0000, 0.5000)  2 Si 2.22
Ba (0.5000, 0.5000, 0.5000)  12 Co 3.15
Co (0.0000, 0.5000, 0.0000)  2 Si 2.22
Co (0.5000, 0.0000, 0.0000)  2 Si 2.22

Output
raw formation energy = 37 kJ/mol of atoms
excess energy over the best structure of this formula in the dataset = 0.000 eV per formula unit

Entry from the Alexandria database: a geometry-optimized BaCoSi structure (PBE).

Cell: 5.1081 5.1081 5.1081 Å, 60.00 60.00 60.00°
Closest atoms and distances in Å follow each position.
Element x y z (fractional)
Si (0.5000, 0.5000, 0.5000)  4 Ba 3.13
Ba (0.7500, 0.7500, 0.7500)  4 Co 3.13, 4 Si 3.13
Co (0.0000, 0.0000, 0.0000)  4 Ba 3.13

Output
raw formation energy = 128 kJ/mol of atoms

Entry from the Alexandria database: a geometry-optimized BaCo3Si structure (PBE).

Cell: 4.8265 4.8265 4.8265 Å, 90.00 90.00 90.00°
Closest atoms and distances in Å follow each position.
Element x y z (fractional)
Co (0.0000, 0.5000, 0.0000)  2 Ba 2.41
Si (0.5000, 0.5000, 0.5000)  12 Co 3.41
Co (0.0000, 0.0000, 0.5000)  2 Ba 2.41
Ba (0.0000, 0.0000, 0.0000)  6 Co 2.41
Co (0.5000, 0.0000, 0.0000)  2 Ba 2.41

Output
raw formation energy = 228 kJ/mol of atoms
excess energy over the best structure of this formula in the dataset = 9.905 eV per formula unit

Entry from the Alexandria database: a geometry-optimized BaCoSi2 structure (PBE).

Cell: 6.2809 5.7040 2.9858 Å, 89.97 61.67 115.24°
Closest atoms and distances in Å follow each position.
Element x y z (fractional)
Ba (0.0000, 0.5000, 0.5000)  2 Co 2.76, 2 Ba 2.99
Si (0.5000, 0.0000, 0.5000)  4 Si 2.76-2.99
Si (0.0000, 0.0000, 0.0000)  4 Si 2.76-2.99
Co (0.5000, 0.5000, 0.0000)  2 Ba 2.76, 2 Co 2.99

Output
raw formation energy = 73 kJ/mol of atoms

Entry from the Alexandria database: a geometry-optimized BaCoSi2 structure (PBE).

Cell: 4.0372 4.5056 5.2873 Å, 90.00 90.00 90.00°
Closest atoms and distances in Å follow each position.
Element x y z (fractional)
Ba (0.0000, 0.4853, 0.5000)  8 Si 3.41-3.54, 4 Co 3.56
Si (0.0000, 0.9639, 0.0000)  2 Co 2.20
Co (0.5000, 0.7697, 0.0000)  4 Si 2.20-2.30
Si (0.5000, 0.2811, 0.0000)  2 Co 2.20-2.30

Output
raw formation energy = -22 kJ/mol of atoms

Entry from the Alexandria database: a geometry-optimized BaCoSi2 structure (PBE).

Cell: 4.1018 4.1029 4.8499 Å, 90.00 90.00 90.00°
Closest atoms and distances in Å follow each position.
Element x y z (fractional)
Ba (0.5000, 0.0000, 0.5000)  4 Co 2.90, 8 Si 3.18
Si (0.0000, 0.0000, 0.0000)  4 Si 2.90, 4 Ba 3.18, 4 Co 3.18
Si (0.5000, 0.5000, 0.0000)  4 Si 2.90, 4 Co 3.18, 4 Ba 3.18
Co (0.0000, 0.5000, 0.5000)  4 Ba 2.90, 8 Si 3.18

Output
raw formation energy = 64 kJ/mol of atoms

Entry from the Alexandria database: a geometry-optimized BaCoSi2 structure (PBE).

Cell: 3.9972 4.5166 5.2786 Å, 73.66 90.00 90.00°
Closest atoms and distances in Å follow each position.
Element x y z (fractional)
Si (0.0000, 0.9653, 0.8335)  2 Co 2.32, 2 Si 2.35-2.47
Ba (0.5000, 0.2500, 0.2500)  2 Co 2.95
Co (0.5000, 0.7500, 0.7500)  4 Si 2.32
Si (0.0000, 0.5347, 0.6665)  2 Co 2.32, 2 Si 2.35-2.47

Output
raw formation energy = -17 kJ/mol of atoms

Entry from the Alexandria database: a geometry-optimized BaCoSi2 structure (PBE).

Cell: 4.8356 4.8356 4.8356 Å, 119.80 119.80 90.34°
Closest atoms and distances in Å follow each position.
Element x y z (fractional)
Co (0.7500, 0.2500, 0.5000)  4 Ba 2.96, 4 Si 2.96
Si (0.2500, 0.7500, 0.5000)  4 Si 2.96, 4 Ba 2.96
Ba (0.5000, 0.5000, 0.0000)  4 Si 2.96, 4 Co 2.96
Si (0.0000, 0.0000, 0.0000)  4 Co 2.96, 4 Si 2.96

Output
raw formation energy = 62 kJ/mol of atoms